Crystalline ErSc2PaS4 at its relaxed geometry, computed with PBE-GGA.

Summary:
- Total magnetization: 0.000 μB per atom
- SG: P2/m
- VASP energy: -7.20 eV/atom
- Uncorrected formation energy: -1.80 eV/atom
- Density of states at the Fermi level: 0.67 states/eV per atom

Lattice parameters (Å, degrees): 6.562 3.755 6.590 90.00 108.96 90.00
Fractional coordinates of all 8 atoms:
1 Er 0.000 0.000 0.000
2 Sc 0.000 0.500 0.500
3 Sc 0.500 0.000 0.500
4 Pa 0.500 0.500 0.000
5 S 0.241 0.000 0.732
6 S 0.252 0.500 0.265
7 S 0.748 0.500 0.735
8 S 0.759 0.000 0.268